# 1
Compound: Li6Ga3Ag
Source: the Alexandria database
Functional: PBE
Structure: relaxed

Calculated values
DFT total energy in Ry per atom: -0.186
Total magnetization in Bohr magnetons per cell: 0.0

a = 4.8695 Å, b = 7.9809 Å, c = 9.4824 Å
α = 90.00°, β = 106.54°, γ = 90.00°
Space group P2_1/c (No. 14)
Asymmetric unit:
Li 0.0326 0.1678 0.0456 [4 per cell]
Li 0.3548 0.7149 0.8027 [4 per cell]
Li 0.3926 0.1282 0.3761 [4 per cell]
Ga 0.1483 0.0652 0.7688 [4 per cell]
Ga 0.5000 0.0000 0.0000 [2 per cell]
Ag 0.0000 0.0000 0.5000 [2 per cell]

# 2
Compound: Li2Ga4Ag3
Source: the Alexandria database
Functional: PBE
Structure: relaxed

Calculated values
DFT total energy in Ry per atom: -0.208
Total magnetization in Bohr magnetons per cell: 0.0

a = 5.6225 Å, b = 15.8242 Å, c = 7.6027 Å
α = 90.00°, β = 90.00°, γ = 90.00°
Space group Cmce (No. 64)
Asymmetric unit:
Li 0.0000 0.0939 0.1030 [8 per cell]
Ga 0.0000 0.1697 0.4953 [8 per cell]
Ga 0.2500 0.0765 0.7500 [8 per cell]
Ag 0.0000 0.0000 0.5000 [4 per cell]
Ag 0.2500 0.2488 0.2500 [8 per cell]

# 3
Compound: Li4GaAg
Source: the Alexandria database
Functional: PBE
Structure: relaxed

Calculated values
DFT total energy in Ry per atom: -0.183
Total magnetization in Bohr magnetons per cell: 0.0

a = 5.3751 Å, b = 15.5982 Å, c = 4.4896 Å
α = 90.00°, β = 90.00°, γ = 90.00°
Space group Cmcm (No. 63)
Asymmetric unit:
Li 0.2427 0.0414 0.2500 [8 per cell]
Li 0.2476 0.2082 0.2500 [8 per cell]
Ga 0.0000 0.1264 0.7500 [4 per cell]
Ag 0.0000 0.3758 0.2500 [4 per cell]

# 4
Compound: Li3Ga2Ag5
Source: the Alexandria database
Functional: PBE
Structure: relaxed

Calculated values
DFT total energy in Ry per atom: -0.193
Total magnetization in Bohr magnetons per cell: 0.0

a = 10.3476 Å, b = 13.5524 Å, c = 5.3245 Å
α = 90.00°, β = 90.00°, γ = 90.00°
Space group Ibam (No. 72)
Asymmetric unit:
Li 0.0000 0.0000 0.2500 [4 per cell]
Li 0.0911 0.3235 0.0000 [8 per cell]
Ga 0.0995 0.1557 0.5000 [8 per cell]
Ag 0.0000 0.5000 0.2500 [4 per cell]
Ag 0.2151 0.3207 0.5000 [8 per cell]
Ag 0.2379 0.0000 0.2500 [8 per cell]

# 5
Compound: Li3GaAg2
Source: the Alexandria database
Functional: PBE
Structure: relaxed

Calculated values
DFT total energy in Ry per atom: -0.193
Total magnetization in Bohr magnetons per cell: 0.0

a = 7.0066 Å, b = 7.6563 Å, c = 7.2833 Å
α = 90.00°, β = 103.36°, γ = 90.00°
Space group C2/c (No. 15)
Asymmetric unit:
Li 0.0000 0.0758 0.2500 [4 per cell]
Li 0.2412 0.4152 0.0025 [8 per cell]
Ga 0.0000 0.4113 0.2500 [4 per cell]
Ag 0.1288 0.2521 0.6288 [8 per cell]

# 6
Compound: Li4GaAg2
Source: the Alexandria database
Functional: PBE
Structure: relaxed

Calculated values
DFT total energy in Ry per atom: -0.183
Total magnetization in Bohr magnetons per cell: 0.0

a = 14.0715 Å, b = 2.8161 Å, c = 7.0352 Å
α = 90.00°, β = 119.62°, γ = 90.00°
Space group C2/m (No. 12)
Asymmetric unit:
Li 0.0843 0.0000 0.2265 [4 per cell]
Li 0.1370 0.5000 0.8897 [4 per cell]
Ga 0.0000 0.0000 0.5000 [2 per cell]
Ag 0.2251 0.0000 0.6629 [4 per cell]

# 7
Compound: Li2GaAg4
Source: the Alexandria database
Functional: PBE
Structure: relaxed

Calculated values
DFT total energy in Ry per atom: -0.199
Total magnetization in Bohr magnetons per cell: 0.0

a = 6.6488 Å, b = 5.3486 Å, c = 7.6865 Å
α = 90.00°, β = 115.69°, γ = 90.00°
Space group P2_1/m (No. 11)
Asymmetric unit:
Li 0.1252 0.2500 0.0613 [2 per cell]
Li 0.2914 0.2500 0.5173 [2 per cell]
Ga 0.2646 0.7500 0.3000 [2 per cell]
Ag 0.0955 0.5007 0.7281 [4 per cell]
Ag 0.4498 0.7500 0.6805 [2 per cell]
Ag 0.4545 0.7500 0.0632 [2 per cell]

# 8
Compound: LiGa2Ag6
Source: the Alexandria database
Functional: PBE
Structure: relaxed

Calculated values
DFT total energy in Ry per atom: -0.211
Total magnetization in Bohr magnetons per cell: 0.0

a = 8.8162 Å, b = 4.2663 Å, c = 8.4421 Å
α = 90.00°, β = 105.02°, γ = 90.00°
Space group C2/m (No. 12)
Asymmetric unit:
Li 0.0000 0.0000 0.0000 [2 per cell]
Ga 0.1694 0.5000 0.2244 [4 per cell]
Ag 0.0020 0.0000 0.6762 [4 per cell]
Ag 0.1600 0.5000 0.8985 [4 per cell]
Ag 0.1684 0.5000 0.5572 [4 per cell]

# 9
Compound: Li6GaAg12
Source: the Alexandria database
Functional: PBE
Structure: relaxed

Calculated values
DFT total energy in Ry per atom: -0.197
Total magnetization in Bohr magnetons per cell: 0.0

a = 9.7246 Å, b = 9.7246 Å, c = 11.9286 Å
α = 90.00°, β = 90.00°, γ = 120.00°
Space group R-3 (No. 148, hexagonal axes)
Asymmetric unit:
Li 0.0229 0.5932 0.2057 [18 per cell]
Ga 0.0000 0.0000 0.5000 [3 per cell]
Ag 0.0249 0.8395 0.3209 [18 per cell]
Ag 0.0606 0.2111 0.9096 [18 per cell]

# 10
Compound: Li6GaAg6
Source: the Alexandria database
Functional: PBE
Structure: relaxed

Calculated values
DFT total energy in Ry per atom: -0.187
Total magnetization in Bohr magnetons per cell: 0.0

a = 5.5647 Å, b = 5.5647 Å, c = 8.9831 Å
α = 90.00°, β = 90.00°, γ = 120.00°
Space group P6/mmm (No. 191)
Asymmetric unit:
Li 0.0000 0.0000 0.1806 [2 per cell]
Li 0.3333 0.6667 0.0000 [2 per cell]
Li 0.3333 0.6667 0.5000 [2 per cell]
Ga 0.0000 0.0000 0.5000 [1 per cell]
Ag 0.0000 0.5000 0.2545 [6 per cell]

# 11
Compound: LiGa7Ag4
Source: the Alexandria database
Functional: PBE
Structure: relaxed

Calculated values
DFT total energy in Ry per atom: -0.208
Total magnetization in Bohr magnetons per cell: 0.0

a = 10.3571 Å, b = 5.1588 Å, c = 9.5801 Å
α = 90.00°, β = 117.11°, γ = 90.00°
Space group C2/m (No. 12)
Asymmetric unit:
Li 0.0000 0.0000 0.0000 [2 per cell]
Ga 0.0000 0.5000 0.0000 [2 per cell]
Ga 0.1128 0.0000 0.4501 [4 per cell]
Ga 0.1690 0.5000 0.6243 [4 per cell]
Ga 0.2122 0.5000 0.9220 [4 per cell]
Ag 0.0722 0.5000 0.3040 [4 per cell]
Ag 0.1781 0.0000 0.7623 [4 per cell]

# 12
Compound: Li4GaAg
Source: the Alexandria database
Functional: PBE
Structure: relaxed

Calculated values
DFT total energy in Ry per atom: -0.176
Total magnetization in Bohr magnetons per cell: 0.0

a = 12.1779 Å, b = 7.2637 Å, c = 4.8962 Å
α = 90.00°, β = 103.84°, γ = 90.00°
Space group C2/m (No. 12)
Asymmetric unit:
Li 0.0000 0.1813 0.0000 [4 per cell]
Li 0.1375 0.1874 0.6051 [8 per cell]
Li 0.1639 0.5000 0.2981 [4 per cell]
Ga 0.2090 0.0000 0.1364 [4 per cell]
Ag 0.0629 0.5000 0.7755 [4 per cell]

# 13
Compound: LiGa2Ag4
Source: the Alexandria database
Functional: PBE
Structure: relaxed

Calculated values
DFT total energy in Ry per atom: -0.209
Total magnetization in Bohr magnetons per cell: 0.0

a = 8.6050 Å, b = 6.6925 Å, c = 5.5829 Å
α = 90.00°, β = 128.01°, γ = 90.00°
Space group C2/m (No. 12)
Asymmetric unit:
Li 0.0000 0.0000 0.0000 [2 per cell]
Ga 0.0012 0.5000 0.7534 [4 per cell]
Ag 0.2097 0.2121 0.7120 [8 per cell]

# 14
Compound: Li6GaAg3
Source: the Alexandria database
Functional: PBE
Structure: relaxed

Calculated values
DFT total energy in Ry per atom: -0.185
Total magnetization in Bohr magnetons per cell: 0.0

a = 7.5852 Å, b = 4.5846 Å, c = 10.0047 Å
α = 90.00°, β = 111.78°, γ = 90.00°
Space group P2_1/m (No. 11)
Asymmetric unit:
Li 0.0303 0.2500 0.4228 [2 per cell]
Li 0.1583 0.7500 0.1729 [2 per cell]
Li 0.2422 0.2500 0.0202 [2 per cell]
Li 0.3378 0.2500 0.3353 [2 per cell]
Li 0.3574 0.7500 0.7829 [2 per cell]
Li 0.4353 0.2500 0.6309 [2 per cell]
Ga 0.4644 0.7500 0.0757 [2 per cell]
Ag 0.0589 0.7500 0.8800 [2 per cell]
Ag 0.1389 0.2500 0.7232 [2 per cell]
Ag 0.2664 0.7500 0.4783 [2 per cell]

# 15
Compound: LiGaAg14
Source: the Alexandria database
Functional: PBE
Structure: relaxed

Calculated values
DFT total energy in Ry per atom: -0.208
Total magnetization in Bohr magnetons per cell: 0.0

a = 9.4856 Å, b = 5.8956 Å, c = 10.0669 Å
α = 90.00°, β = 90.00°, γ = 90.00°
Space group Amm2 (No. 38)
Asymmetric unit:
Li 0.0000 0.0000 0.0000 [2 per cell]
Ga 0.0000 0.0000 0.5019 [2 per cell]
Ag 0.0000 0.2493 0.7514 [4 per cell]
Ag 0.2444 0.2490 0.0797 [8 per cell]
Ag 0.2475 0.0000 0.3315 [4 per cell]
Ag 0.2505 0.0000 0.8317 [4 per cell]
Ag 0.5000 0.0000 0.1619 [2 per cell]
Ag 0.5000 0.0000 0.6614 [2 per cell]
Ag 0.5000 0.2489 0.4133 [4 per cell]

# 16
Compound: Li2GaAg3
Source: the Alexandria database
Functional: PBE
Structure: relaxed

Calculated values
DFT total energy in Ry per atom: -0.196
Total magnetization in Bohr magnetons per cell: 0.0

a = 2.8879 Å, b = 26.5926 Å, c = 5.4268 Å
α = 90.00°, β = 90.00°, γ = 90.00°
Space group Cmcm (No. 63)
Asymmetric unit:
Li 0.0000 0.0013 0.2500 [4 per cell]
Li 0.0000 0.1546 0.2500 [4 per cell]
Ga 0.0000 0.3340 0.2500 [4 per cell]
Ag 0.0000 0.2537 0.7500 [4 per cell]
Ag 0.0000 0.4237 0.9997 [8 per cell]

# 17
Compound: LiGa2Ag4
Source: the Alexandria database
Functional: PBE
Structure: relaxed

Calculated values
DFT total energy in Ry per atom: -0.207
Total magnetization in Bohr magnetons per cell: 0.0

a = 18.4171 Å, b = 2.8990 Å, c = 4.7584 Å
α = 90.00°, β = 104.92°, γ = 90.00°
Space group C2/m (No. 12)
Asymmetric unit:
Li 0.0000 0.0000 0.0000 [2 per cell]
Ga 0.2220 0.5000 0.7213 [4 per cell]
Ag 0.0811 0.0000 0.5814 [4 per cell]
Ag 0.1372 0.5000 0.1368 [4 per cell]

# 18
Compound: Li3Ga2Ag
Source: the Alexandria database
Functional: PBE
Structure: relaxed

Calculated values
DFT total energy in Ry per atom: -0.202
Total magnetization in Bohr magnetons per cell: 0.0

a = 13.9411 Å, b = 6.4549 Å, c = 4.3520 Å
α = 90.00°, β = 107.50°, γ = 90.00°
Space group C2/c (No. 15)
Asymmetric unit:
Li 0.0000 0.1179 0.2500 [4 per cell]
Li 0.1630 0.3771 0.4115 [8 per cell]
Ga 0.1698 0.1245 0.9188 [8 per cell]
Ag 0.0000 0.3551 0.7500 [4 per cell]

# 19
Compound: Li3GaAg
Source: the Alexandria database
Functional: PBE
Structure: relaxed

Calculated values
DFT total energy in Ry per atom: -0.159
Total magnetization in Bohr magnetons per cell: 0.0

a = 4.8309 Å, b = 4.8309 Å, c = 4.8309 Å
α = 90.00°, β = 90.00°, γ = 90.00°
Space group Pm-3m (No. 221)
Asymmetric unit:
Li 0.0000 0.0000 0.5000 [3 per cell]
Ga 0.5000 0.5000 0.5000 [1 per cell]
Ag 0.0000 0.0000 0.0000 [1 per cell]

# 20
Compound: Li4Ga3Ag4
Source: the Alexandria database
Functional: PBE
Structure: relaxed

Calculated values
DFT total energy in Ry per atom: -0.201
Total magnetization in Bohr magnetons per cell: 0.0

a = 2.8353 Å, b = 4.5727 Å, c = 14.2450 Å
α = 80.85°, β = 84.39°, γ = 89.68°
Space group P-1 (No. 2)
Asymmetric unit:
Li 0.0864 0.0869 0.3270 [2 per cell]
Li 0.2688 0.2688 0.9618 [2 per cell]
Ga 0.1431 0.6434 0.2144 [2 per cell]
Ga 0.5000 0.0000 0.5000 [1 per cell]
Ag 0.3229 0.8220 0.8549 [2 per cell]
Ag 0.4435 0.4446 0.6112 [2 per cell]